1.
First-principles (PBE) data for a relaxed structure of CaLa2Se, as listed in Alexandria.

It has space group P4/mmm (No. 123), with a = 3.698 Å, b = 3.698 Å, c = 9.995 Å, α = 90.00°, β = 90.00° and γ = 90.00°. Symmetry generates all atoms from Ca at (0.000, 0.000, 0.000), La at (0.500, 0.500, 0.320) and Se at (0.000, 0.000, 0.500).

Its formation energy (no corrections) is -0.7380 eV per atom.

=====

2.
First-principles (PBE) data for a relaxed structure of Dy11Tl9Cd4, as listed in Alexandria.

It has space group Cmmm (No. 65), with a = 15.542 Å, b = 22.540 Å, c = 3.703 Å, α = 90.00°, β = 90.00° and γ = 90.00°. Symmetry generates all atoms from Dy at (0.000, 0.000, 0.000), Dy at (0.000, 0.178, 0.000), Dy at (0.000, 0.365, 0.000), Dy at (0.236, 0.173, 0.000), Dy at (0.241, 0.000, 0.000), Tl at (0.000, 0.500, 0.500), Tl at (0.115, 0.268, 0.500), Tl at (0.117, 0.088, 0.500) and Cd at (0.154, 0.412, 0.500).

As for the formation enthalpy at 0 K: -0.29 eV per atom.

=====

3.
First-principles (PBE) data for a relaxed structure of K4U3TlS12, as listed in Alexandria.

It has space group Im-3m (No. 229), with a = 10.418 Å, b = 10.418 Å, c = 10.418 Å, α = 90.00°, β = 90.00° and γ = 90.00°. Symmetry generates all atoms from K at (0.250, 0.250, 0.250), U at (0.000, 0.000, 0.500), Tl at (0.000, 0.000, 0.000), S at (0.000, 0.000, 0.266) and S at (0.000, 0.250, 0.500).

Its formation energy (no corrections) is -1.1063 eV per atom.

=====

4.
First-principles (PBE) data for a relaxed structure of Nd3Ga4Si, as listed in Alexandria.

It has space group Immm (No. 71), with a = 4.600 Å, b = 7.219 Å, c = 12.146 Å, α = 90.00°, β = 90.00° and γ = 90.00°. Symmetry generates all atoms from Nd at (0.000, 0.000, 0.000), Nd at (0.000, 0.500, 0.173), Ga at (0.000, 0.290, 0.384) and Si at (0.000, 0.000, 0.500).

Its formation energy (no corrections) is -0.4301 eV per atom.

=====

5.
First-principles (PBE) data for a relaxed structure of SrCd12Sn6, as listed in Alexandria.

It has space group R-3m (No. 166, hexagonal axes), with a = 13.8279 Å, b = 13.8279 Å, c = 9.4368 Å, α = 90.00°, β = 90.00° and γ = 120.00°. Symmetry generates all atoms from Sr at (0.0000, 0.0000, 0.0000), Cd at (0.0000, 0.3982, 0.5000), Cd at (0.0723, 0.1447, 0.3282) and Sn at (0.0110, 0.5055, 0.2096).

As for the formation enthalpy at 0 K: 0.01 eV per atom.

=====

| no. | ρ (Mg/m³) |
| --- | --- |
| 1 | 4.8 |
| 2 | 10.4 |
| 3 | 4.3 |
| 4 | 6.1 |
| 5 | 6.9 |